This record from the Alexandria database describes a relaxed ScCr2Cl crystal. The functional is PBE-GGA.

Values from the calculation:
* relative energy among the computed polymorphs: 220 kJ/mol of formula units
* E_form (uncorrected): 377 meV per atom

Unit cell a=4.256 b=4.256 c=8.070 alpha=90.00 beta=90.00 gamma=90.00
Space group I-4m2 (No. 119)
Asymmetric unit:
Sc  0.000  0.000  0.000
Cr  0.000  0.000  0.500
Cr  0.000  0.500  0.250
Cl  0.000  0.500  0.750